[1]
# LiCd3 PBE-GGA optimized geometry
# - Calculated formation energy: -0.131 eV/atom
data_LiCd3
_cell_length_a 3.1783
_cell_length_b 9.6536
_cell_length_c 5.4130
_cell_angle_alpha 90.00
_cell_angle_beta 90.00
_cell_angle_gamma 90.00
_symmetry_space_group_name_H-M 'I m m 2'
_symmetry_Int_Tables_number 44
loop_
_symmetry_equiv_pos_as_xyz
'x,y,z'
'-x,-y,z'
'-x,y,z'
'x,-y,z'
'x+1/2,y+1/2,z+1/2'
'-x+1/2,-y+1/2,z+1/2'
'-x+1/2,y+1/2,z+1/2'
'x+1/2,-y+1/2,z+1/2'
loop_
_atom_site_label
_atom_site_type_symbol
_atom_site_fract_x
_atom_site_fract_y
_atom_site_fract_z
Li1 Li 0.0000 0.0000 0.0000
Cd1 Cd 0.0000 0.2534 0.6650
Cd2 Cd 0.0000 0.5000 0.9999

=====

[2]
# LiLuCd4 PBE-GGA optimized geometry
# - Calculated formation energy: -0.120 eV/atom
data_LiLuCd4
_cell_length_a 8.2128
_cell_length_b 8.2128
_cell_length_c 8.2128
_cell_angle_alpha 90.00
_cell_angle_beta 90.00
_cell_angle_gamma 90.00
_symmetry_space_group_name_H-M 'F -4 3 m'
_symmetry_Int_Tables_number 216
_symmetry_space_group_name_Hall 'F -4 2 3'
loop_
_atom_site_label
_atom_site_type_symbol
_atom_site_fract_x
_atom_site_fract_y
_atom_site_fract_z
Li1 Li 0.0000 0.0000 0.0000
Lu1 Lu 0.2500 0.2500 0.7500
Cd1 Cd 0.1252 0.1252 0.3748

=====

[3]
# LiLuCd2 PBE-GGA optimized geometry
# - Calculated formation energy: -0.256 eV/atom
# - Distance to the lowest polymorph of the same formula: 0.0 meV per atom
data_LiLuCd2
_cell_length_a 3.3838
_cell_length_b 3.3838
_cell_length_c 7.5099
_cell_angle_alpha 90.00
_cell_angle_beta 90.00
_cell_angle_gamma 90.00
_symmetry_space_group_name_H-M 'P 4/m m m'
_symmetry_Int_Tables_number 123
_symmetry_space_group_name_Hall '-P 4 2'
loop_
_atom_site_label
_atom_site_type_symbol
_atom_site_fract_x
_atom_site_fract_y
_atom_site_fract_z
Li1 Li 0.0000 0.0000 0.0000
Lu1 Lu 0.0000 0.0000 0.5000
Cd1 Cd 0.5000 0.5000 0.2155